Compound: Ba2NiTe3O12
Source: Alexandria via LeMat-Bulk
Functional: GGA+U
Structure: relaxed

```
18
Lattice="7.1277 -0.1233 -0.0874 3.4129 6.2588 -0.0874 3.4129 1.9866 5.9358" Properties=species:S:1:pos:R:3 pbc="T T T"
Ba 9.0584 5.2728 3.7399
Ba 4.8950 2.8493 2.0210
Ni 0.0000 0.0000 0.0000
Te 3.5639 -0.0616 -0.0437
Te 1.7064 3.1294 -0.0437
Te 1.7064 0.9933 2.9679
O 6.5993 3.8413 5.4722
O 10.8457 6.3131 1.8400
O 8.6810 7.5426 5.3499
O 8.8541 2.5607 1.8163
O 10.8457 3.8236 5.3499
O 6.5993 6.4345 1.8163
O 7.3542 4.2808 0.2887
O 3.1077 1.8090 3.9209
O 5.2725 0.5795 0.4110
O 5.0994 5.5614 3.9446
O 3.1077 4.2985 0.4110
O 7.3542 1.6876 3.9446
```

Summary:
The value obtained for the total energy is -5.648 eV/atom. As for the space group: R-3m.